# 1
First-principles (PBE-GGA) data for a relaxed structure of LiHf2Se6, as listed in Alexandria.

For the calculated total energy, the calculation gives -100.288 eV for the cell shown. For the magnetic moment, the calculation gives 0.004 Bohr magnetons per cell. The calculation puts the volume at 25.9 Å³/atom.

It has space group P4_2/mnm (No. 136), with a = 6.320 Å, b = 6.320 Å, c = 11.690 Å, α = 90.00°, β = 90.00° and γ = 90.00°. The inequivalent atoms are Li at (0.000, 0.000, 0.000), Hf at (0.000, 0.000, 0.341), Se at (0.206, 0.206, 0.177) and Se at (0.206, 0.206, 0.500).

# 2
First-principles (PBE-GGA) data for a relaxed structure of Li2HfSe2, as listed in Alexandria.

For the magnetic moment, the calculation gives 0.000 Bohr magnetons per cell. The calculation puts the volume at 18.9 Å³/atom. For the energy above the lowest structure with this stoichiometry, the calculation gives 0 meV/atom.

It has space group P4/mbm (No. 127), with a = 7.166 Å, b = 7.166 Å, c = 3.685 Å, α = 90.00°, β = 90.00° and γ = 90.00°. The inequivalent atoms are Li at (0.143, 0.357, 0.000), Hf at (0.000, 0.000, 0.500) and Se at (0.174, 0.674, 0.500).

# 3
First-principles (PBE-GGA) data for a relaxed structure of Li3HfSe4, as listed in Alexandria.

For the calculated total energy, the calculation gives -77.538 eV for the cell shown. For the magnetic moment, the calculation gives 0.000 Bohr magnetons per cell. The calculation puts the volume at 20.2 Å³/atom.

It has space group Cmmm (No. 65), with a = 7.821 Å, b = 10.869 Å, c = 3.798 Å, α = 90.00°, β = 90.00° and γ = 90.00°. The inequivalent atoms are Li at (0.000, 0.000, 0.000), Li at (0.250, 0.250, 0.500), Hf at (0.000, 0.500, 0.000), Se at (0.000, 0.256, 0.000) and Se at (0.242, 0.500, 0.500).